DFT (PBE) results for a relaxed PmPPt crystal.

```
PmPPt
1.0
-0.515 -1.421 3.934
4.060 -3.624 1.480
3.388 2.968 3.773
Pm P Pt
2 2 2
direct
0.551 0.200 0.698 Pm
0.449 0.800 0.302 Pm
0.188 0.376 0.249 P
0.812 0.624 0.751 P
0.828 0.228 0.117 Pt
0.172 0.772 0.883 Pt
```

Output
- magnetization (μB per formula unit) = 0.00
- energy (eV/atom) = -6.551
- ΔE_f (eV per atom) = -1.150
- offset from the most stable computed form (meV/atom) = 204

***

DFT (PBE) results for a relaxed Nd2Sm5Dy12 crystal.

```
Nd2Sm5Dy12
1.0
6.074 0.374 0.745
-3.014 8.387 -7.974
0.914 -2.307 14.118
Nd Sm Dy
2 5 12
direct
0.793 0.052 0.973 Nd
0.207 0.948 0.027 Nd
0.359 0.681 0.656 Sm
0.409 0.645 0.193 Sm
0.000 0.000 0.500 Sm
0.591 0.355 0.807 Sm
0.641 0.319 0.344 Sm
0.019 0.735 0.123 Dy
0.200 0.476 0.763 Dy
0.783 0.577 0.710 Dy
0.940 0.789 0.603 Dy
0.495 0.885 0.557 Dy
0.384 0.161 0.926 Dy
0.616 0.839 0.074 Dy
0.060 0.211 0.397 Dy
0.505 0.115 0.443 Dy
0.800 0.524 0.237 Dy
0.217 0.423 0.290 Dy
0.981 0.265 0.877 Dy
```

Output
- magnetization (μB per formula unit) = 0.00
- energy (eV/atom) = -4.599
- ΔE_f (eV per atom) = 0.051
- offset from the most stable computed form (meV/atom) = 0

***

DFT (PBE) results for a relaxed TmU2Re9 crystal.

```
TmU2Re9
1.0
4.999 0.000 1.488
2.278 4.450 1.488
-0.147 -0.090 9.636
Tm U Re
1 2 9
direct
0.000 0.000 0.000 Tm
0.852 0.852 0.445 U
0.148 0.148 0.555 U
0.665 0.665 0.005 Re
0.335 0.335 0.995 Re
0.500 0.500 0.500 Re
0.416 0.416 0.247 Re
0.921 0.416 0.247 Re
0.416 0.921 0.247 Re
0.584 0.584 0.753 Re
0.584 0.079 0.753 Re
0.079 0.584 0.753 Re
```

Output
- magnetization (μB per formula unit) = 1.10
- energy (eV/atom) = -11.563
- ΔE_f (eV per atom) = 0.027

***

DFT (PBE) results for a relaxed Rb2NpCuCl6 crystal.

```
Rb2NpCuCl6
1.0
-6.730 0.936 3.617
-5.062 0.094 -5.597
6.076 -6.150 1.028
Rb Np Cu Cl
2 1 1 6
direct
0.740 0.234 0.534 Rb
0.279 0.756 0.455 Rb
0.500 0.506 0.994 Np
0.954 0.991 0.086 Cu
0.689 0.704 0.920 Cl
0.860 0.752 0.456 Cl
0.340 0.312 0.072 Cl
0.748 0.182 0.907 Cl
0.144 0.244 0.503 Cl
0.245 0.822 0.072 Cl
```

Output
- magnetization (μB per formula unit) = 4.00
- energy (eV/atom) = -4.562
- energy relative to the elements, uncorrected (meV/atom) = -1556